No. 1
Below is a relaxed structure of Cd3Sn5Br12, with properties calculated at the PBE level.

Summary:
- ΔE_f (raw) (eV/atom) = -0.4797
- total energy (eV/atom) = -2.62
- total magnetization (μB per formula unit) = 1.89
- space-group type = Ia-3d, No. 230
- calculated volume (Å³/cell) = 3159
- DOS(E_F) (states/eV/f.u.) = 10.1

```
80
Lattice="-9.2430 9.2430 9.2430 9.2430 -9.2430 9.2430 9.2430 9.2430 -9.2430" Properties=species:S:1:pos:R:3 pbc="T T T"
Cd 4.6215 2.3108 0.0000
Cd 9.2430 4.6215 -2.3108
Cd 2.3108 0.0000 4.6215
Cd 11.5538 0.0000 4.6215
Cd 0.0000 4.6215 2.3108
Cd 4.6215 -2.3108 9.2430
Cd 4.6215 11.5538 0.0000
Cd 9.2430 4.6215 6.9323
Cd -2.3108 9.2430 4.6215
Cd 6.9323 9.2430 4.6215
Cd 0.0000 4.6215 11.5538
Cd 4.6215 6.9323 9.2430
Sn 0.0000 0.0000 0.0000
Sn 4.6215 4.6215 -4.6215
Sn 4.6215 -4.6215 4.6215
Sn 9.2430 0.0000 0.0000
Sn 13.8645 2.3108 0.0000
Sn 9.2430 -4.6215 6.9323
Sn 6.9323 9.2430 -4.6215
Sn 6.9323 0.0000 4.6215
Sn 4.6215 6.9323 0.0000
Sn 9.2430 4.6215 2.3108
Sn -4.6215 4.6215 4.6215
Sn 0.0000 9.2430 0.0000
Sn 0.0000 0.0000 9.2430
Sn 4.6215 4.6215 4.6215
Sn 0.0000 4.6215 6.9323
Sn 4.6215 2.3108 9.2430
Sn 2.3108 9.2430 4.6215
Sn 2.3108 0.0000 13.8645
Sn 0.0000 13.8645 2.3108
Sn -4.6215 6.9323 9.2430
Br 2.7026 -0.5548 1.2147
Br 11.1619 5.8362 -5.1763
Br 8.6882 -1.2147 2.7026
Br 14.4193 -1.9189 3.4068
Br 11.9456 0.5548 1.2147
Br 11.1619 -3.4068 5.1763
Br 1.2147 2.7026 -0.5548
Br 12.6498 4.0667 -1.9189
Br 5.8362 5.1763 -1.9189
Br 8.0283 2.7026 0.5548
Br -0.5548 1.2147 2.7026
Br 5.1763 -1.9189 5.8362
Br 8.6882 8.0283 -2.7026
Br 5.1763 1.9189 3.4068
Br 8.0283 -2.7026 8.6882
Br 5.8362 -5.1763 11.1619
Br 3.4068 5.1763 1.9189
Br 10.4577 6.5404 0.5548
Br 2.7026 8.6882 -1.2147
Br 11.1619 3.4068 4.0667
Br 5.1763 11.1619 -3.4068
Br 8.6882 1.2147 6.5404
Br 1.9189 3.4068 5.1763
Br 2.7026 0.5548 8.0283
Br 6.5404 8.6882 1.2147
Br 7.3241 5.8362 4.0667
Br 0.5548 8.0283 2.7026
Br 4.0667 -1.9189 12.6498
Br -1.9189 5.8362 5.1763
Br 6.5404 0.5548 10.4577
Br -1.2147 2.7026 8.6882
Br 5.8362 4.0667 7.3241
Br 3.4068 14.4193 -1.9189
Br 1.2147 11.9456 0.5548
Br 4.0667 7.3241 5.8362
Br 0.5548 1.2147 11.9456
Br 4.0667 11.1619 3.4068
Br 9.7978 8.0283 6.5404
Br 1.2147 6.5404 8.6882
Br 3.4068 4.0667 11.1619
Br -3.4068 5.1763 11.1619
Br 8.0283 6.5404 9.7978
Br -1.9189 12.6498 4.0667
Br -2.7026 8.6882 8.0283
Br -5.1763 11.1619 5.8362
Br 0.5548 10.4577 6.5404
Br -1.9189 3.4068 14.4193
Br 6.5404 9.7978 8.0283
```

=====

No. 2
Below is a relaxed structure of TmAl2Cd, with properties calculated at the PBE level.

Summary:
- total energy (eV/atom) = -3.53
- total magnetization (μB per formula unit) = 0.00
- space-group type = P4/mmm, No. 123
- DFT formation energy (meV per atom) = -313
- calculated volume (Å³/cell) = 82
- energy above the lowest structure with this stoichiometry (meV per atom) = 0.0
- DOS(E_F) (states/eV/f.u.) = 1.8

```
4
Lattice="4.3614 0.0000 0.0000 0.0000 4.3614 0.0000 0.0000 0.0000 4.2874" Properties=species:S:1:pos:R:3 pbc="T T T"
Tm 0.0000 0.0000 0.0000
Al 0.0000 2.1807 2.1437
Al 2.1807 0.0000 2.1437
Cd 2.1807 2.1807 0.0000
```

=====

No. 3
Below is a relaxed structure of LiBeAu2, with properties calculated at the PBE level.

Summary:
- total energy (eV/atom) = -3.16
- total magnetization (μB per formula unit) = 0.00
- space-group type = F-43m, No. 216
- DFT formation energy (meV per atom) = -106
- calculated volume (Å³/cell) = 60
- DOS(E_F) (states/eV/f.u.) = 1.3

```
4
Lattice="0.0000 3.1149 3.1149 3.1149 0.0000 3.1149 3.1149 3.1149 0.0000" Properties=species:S:1:pos:R:3 pbc="T T T"
Li 0.0000 0.0000 0.0000
Be 4.6723 4.6723 4.6723
Au 1.5574 1.5574 1.5574
Au 3.1149 3.1149 3.1149
```

=====

No. 4
Below is a relaxed structure of LiAl2Zn2Ag, with properties calculated at the PBE level.

Summary:
- total energy (eV/atom) = -2.49
- total magnetization (μB per formula unit) = 0.00
- space-group type = P2_1/m, No. 11
- DFT formation energy (meV per atom) = -23
- calculated volume (Å³/cell) = 214
- DOS(E_F) (states/eV/f.u.) = 2.1

```
12
Lattice="6.5745 0.0000 0.0000 0.0000 5.2339 0.0000 -2.6901 0.0000 6.2299" Properties=species:S:1:pos:R:3 pbc="T T T"
Li 0.5060 1.3085 1.7753
Li 3.3784 3.9254 4.4546
Al 0.4349 0.0077 4.6915
Al 0.4349 2.6093 4.6915
Al 3.4495 2.6246 1.5383
Al 3.4495 5.2262 1.5383
Zn -1.8193 1.3085 4.9246
Zn 1.3791 3.9254 2.6710
Zn 2.5053 1.3085 3.5589
Zn 5.7037 3.9254 1.3053
Ag 1.4535 3.9254 0.0293
Ag 2.4309 1.3085 6.2006
```

=====

No. 5
Below is a relaxed structure of NdIn3Au3, with properties calculated at the PBE level.

Summary:
- total energy (eV/atom) = -3.21
- total magnetization (μB per formula unit) = 0.00
- space-group type = Pm-3n, No. 223
- DFT formation energy (meV per atom) = 45
- calculated volume (Å³/cell) = 420
- energy above the lowest structure with this stoichiometry (meV per atom) = 452.3
- DOS(E_F) (states/eV/f.u.) = 4.8

```
14
Lattice="7.4910 0.0000 0.0000 0.0000 7.4910 0.0000 0.0000 0.0000 7.4910" Properties=species:S:1:pos:R:3 pbc="T T T"
Nd 0.0000 0.0000 0.0000
Nd 3.7455 3.7455 3.7455
In 0.0000 1.8728 3.7455
In 0.0000 5.6183 3.7455
In 1.8728 3.7455 0.0000
In 3.7455 0.0000 1.8728
In 3.7455 0.0000 5.6183
In 5.6183 3.7455 0.0000
Au 0.0000 3.7455 1.8728
Au 0.0000 3.7455 5.6183
Au 1.8728 0.0000 3.7455
Au 3.7455 1.8728 0.0000
Au 3.7455 5.6183 0.0000
Au 5.6183 0.0000 3.7455
```

=====

No. 6
Below is a relaxed structure of PtAu2N, with properties calculated at the PBE level.

Summary:
- ΔE_f (raw) (eV/atom) = 1.1820
- total energy (eV/atom) = -4.05
- total magnetization (μB per formula unit) = 0.00
- space-group type = I-42d, No. 122
- calculated volume (Å³/cell) = 153
- DOS(E_F) (states/eV/f.u.) = 2.5

```
8
Lattice="-2.5080 2.5080 6.0876 2.5080 -2.5080 6.0876 2.5080 2.5080 -6.0876" Properties=species:S:1:pos:R:3 pbc="T T T"
Pt 0.0000 0.0000 0.0000
Pt 0.0000 2.5080 3.0438
Au 1.2540 -0.5593 4.5657
Au 1.9488 1.2540 1.5219
Au 1.2540 3.0673 -1.5219
Au 0.5593 1.2540 7.6095
N 2.5080 0.0000 3.0438
N 0.0000 0.0000 6.0876
```

=====

No. 7
Below is a relaxed structure of InGa2AuCl, with properties calculated at the PBE level.

Summary:
- ΔE_f (raw) (eV/atom) = 0.2679
- total energy (eV/atom) = -2.52
- total magnetization (μB per formula unit) = 0.00
- space-group type = P4/mmm, No. 123
- calculated volume (Å³/cell) = 151
- DOS(E_F) (states/eV/f.u.) = 1.3

```
5
Lattice="5.4084 0.0000 0.0000 0.0000 5.4084 0.0000 0.0000 0.0000 5.1544" Properties=species:S:1:pos:R:3 pbc="T T T"
In 0.0000 0.0000 0.0000
Ga 0.0000 2.7042 0.0000
Ga 2.7042 0.0000 0.0000
Au 2.7042 2.7042 2.5772
Cl 0.0000 0.0000 2.5772
```

=====

No. 8
Below is a relaxed structure of TlZnRu2, with properties calculated at the PBE level.

Summary:
- total energy (eV/atom) = -5.12
- total magnetization (μB per formula unit) = 0.00
- space-group type = Cm, No. 8
- DFT formation energy (meV per atom) = 427
- calculated volume (Å³/cell) = 65
- energy above the lowest structure with this stoichiometry (meV per atom) = 176.6
- DOS(E_F) (states/eV/f.u.) = 4.9

```
4
Lattice="4.6128 -1.4924 0.0000 4.6128 1.4924 0.0000 -0.8469 0.0000 4.7440" Properties=species:S:1:pos:R:3 pbc="T T T"
Tl 0.0000 0.0000 0.0000
Zn 1.5519 0.0000 3.4432
Ru 4.0873 0.0000 2.3369
Ru 6.7342 0.0000 1.3322
```